Entry from Alexandria: a geometry-optimized Mg2Be structure (PBE).

**Final energy**: -0.1565 Ry per atom
**Density**: 1.9 g cm⁻³
**Energy of formation from the pure elements**: 175.4 meV per atom
**Space-group type**: No. 140
**Volume**: 103.40 Å³/cell

Cell: 5.201 5.201 5.201 Å, 102.96 102.96 123.46°
Atoms (fractional coordinates):
Mg  0.163  0.663  0.827
Mg  0.337  0.163  0.500
Mg  0.663  0.837  0.500
Mg  0.837  0.337  0.173
Be  0.250  0.250  0.000
Be  0.750  0.750  0.000